First-principles (GGA-PBE) data for a relaxed structure of KMg2Ti3O8, as listed in the Alexandria database.

## Properties
Its density of states at the Fermi level is 0.2692 states/eV per atom. The value obtained for the volume is 12.26 Å³/atom. For the theoretical density, the calculation gives 3.477 Mg/m³. As for the formation energy (no corrections): -2.6719 eV per atom. As for the total energy: -315.13 eV/cell.

a b c (Å): 6.1412 6.1412 15.7624
angles (deg): 90.00 90.00 120.00
Space group R3m (No. 160, hexagonal axes)
Unique sites:
K1 0.0000 0.0000 0.0000 (multiplicity 3)
Mg1 0.0000 0.0000 0.3726 (multiplicity 3)
Mg2 0.0000 0.0000 0.7508 (multiplicity 3)
Ti1 0.0076 0.5038 0.8720 (multiplicity 9)
O1 0.0000 0.0000 0.1436 (multiplicity 3)
O2 0.0000 0.0000 0.6100 (multiplicity 3)
O3 0.0275 0.5138 0.1287 (multiplicity 9)
O4 0.1957 0.3914 0.9397 (multiplicity 9)